A.
A plane-wave DFT calculation with GGA-PBE was carried out for a relaxed structure of CdPbSO.

The crystal system is orthorhombic. For the calculated volume, the calculation gives 21.67 Å³ per atom.

It has space group Cmc2_1 (No. 36), with a = 3.716 Å, b = 15.662 Å, c = 5.959 Å, α = 90.00°, β = 90.00° and γ = 90.00°. The distinct sites, in fractional coordinates, are Cd at (0.000, 0.173, 0.000), Pb at (0.000, 0.429, 0.042), S at (0.000, 0.195, 0.435) and O at (0.000, 0.404, 0.414).

***

B.
A plane-wave DFT calculation with GGA-PBE was carried out for a relaxed structure of CdPbSO.

The crystal system is tetragonal. For the calculated volume, the calculation gives 22.82 Å³ per atom.

It has space group P4/nmm (No. 129, origin choice 2), with a = 4.246 Å, b = 4.246 Å, c = 10.122 Å, α = 90.00°, β = 90.00° and γ = 90.00°. The distinct sites, in fractional coordinates, are Cd at (0.250, 0.750, 0.000), Pb at (0.250, 0.250, 0.391), S at (0.250, 0.250, 0.852) and O at (0.250, 0.750, 0.500).

***

C.
A plane-wave DFT calculation with GGA-PBE was carried out for a relaxed structure of CdPbSO.

The crystal system is orthorhombic. For the calculated volume, the calculation gives 22.22 Å³ per atom.

It has space group Pnma (No. 62), with a = 6.079 Å, b = 3.985 Å, c = 14.675 Å, α = 90.00°, β = 90.00° and γ = 90.00°. The distinct sites, in fractional coordinates, are Cd at (0.158, 0.250, 0.188), Pb at (0.237, 0.750, 0.417), S at (0.235, 0.250, 0.590) and O at (0.214, 0.750, 0.827).

***

Least stable of them? A.

***

A.
A plane-wave DFT calculation with GGA-PBE was carried out for a relaxed structure of CdPbSeO.

The crystal system is orthorhombic. For the calculated volume, the calculation gives 23.70 Å³ per atom.

It has space group Pbam (No. 55), with a = 10.122 Å, b = 19.124 Å, c = 3.917 Å, α = 90.00°, β = 90.00° and γ = 90.00°. The distinct sites, in fractional coordinates, are Cd at (0.074, 0.112, 0.000), Cd at (0.081, 0.581, 0.000), Pb at (0.019, 0.734, 0.500), Pb at (0.249, 0.388, 0.500), Se at (0.215, 0.994, 0.000), Se at (0.227, 0.721, 0.000), O at (0.005, 0.399, 0.500) and O at (0.014, 0.863, 0.500).

***

B.
A plane-wave DFT calculation with GGA-PBE was carried out for a relaxed structure of CdPbSeO.

The crystal system is tetragonal. For the calculated volume, the calculation gives 25.54 Å³ per atom.

It has space group P4/nmm (No. 129, origin choice 2), with a = 5.170 Å, b = 5.170 Å, c = 7.644 Å, α = 90.00°, β = 90.00° and γ = 90.00°. The distinct sites, in fractional coordinates, are Cd at (0.250, 0.250, 0.131), Pb at (0.250, 0.250, 0.678), Se at (0.250, 0.750, 0.000) and O at (0.250, 0.250, 0.409).

***

Least stable of them? B.